Density functional theory data (PBE) for a relaxed structure of Cu2PdI5.

Properties
total energy: -2.701 eV per atom
Fermi-level density of states: 16.3 states/eV/cell
crystal system: orthorhombic

Cell: 6.098 13.507 13.100 Å, 90.00 90.00 90.00°
Space group Cmcm (No. 63)
Inequivalent atoms, fractional coordinates:
Cu 0.000 0.214 0.098
Pd 0.000 0.133 0.750
I 0.000 0.022 0.121
I 0.000 0.272 0.594
I 0.000 0.341 0.250